No. 1
DFT (PBE) results for a relaxed Tc2Ge2H crystal.

Cell: 5.8109 5.8109 3.9160 Å, 90.00 90.00 90.00°
Closest atoms and distances in Å follow each position.
Sites, in units of the cell vectors:
H  0.0000  0.0000  0.0000  4 Tc 2.16
H  0.5000  0.5000  0.0000  4 Tc 2.16
Ge  0.8464  0.3464  0.5000  6 Tc 2.44-2.71, 1 Ge 2.52
Ge  0.3464  0.1536  0.5000  6 Tc 2.44-2.71, 1 Ge 2.52
Ge  0.1536  0.6536  0.5000  6 Tc 2.44-2.71, 1 Ge 2.52
Ge  0.6536  0.8464  0.5000  6 Tc 2.44-2.71, 1 Ge 2.52
Tc  0.8313  0.6687  0.0000  2 H 2.16
Tc  0.6687  0.1687  0.0000  2 H 2.16
Tc  0.3313  0.8313  0.0000  2 H 2.16
Tc  0.1687  0.3313  0.0000  2 H 2.16

* total DFT energy (no corrections): -66.2 eV/cell
* space group: P4/mbm (127)
* V: 13.22 A^3/atom
* size of the total moment: 0.0 μB/f.u.



No. 2
DFT (PBE) results for a relaxed ScTc2 crystal.

Cell: 5.2622 5.2622 6.5794 Å, 71.47 71.47 34.66°
Closest atoms and distances in Å follow each position.
Sites, in units of the cell vectors:
Sc  0.8393  0.8393  0.0915  6 Tc 2.76-2.86, 3 Sc 2.93-3.05
Sc  0.1607  0.1607  0.9085  6 Tc 2.76-2.86, 3 Sc 2.93-3.05
Tc  0.4981  0.4981  0.2699  4 Tc 2.63-2.72, 4 Sc 2.76-2.86
Tc  0.1626  0.1626  0.4265  6 Tc 2.63-2.76, 2 Sc 2.80
Tc  0.5019  0.5019  0.7301  4 Tc 2.63-2.72, 4 Sc 2.76-2.86
Tc  0.8374  0.8374  0.5735  6 Tc 2.63-2.76, 2 Sc 2.80

* formation energy from the elements: -0.0681 eV/atom
* total DFT energy (no corrections): -54.5 eV/cell
* space group: C2/m (12)
* distance to the lowest polymorph of the same formula: 236 meV per atom
* V: 16.28 A^3/atom
* size of the total moment: 0.0 μB/f.u.



No. 3
DFT (PBE) results for a relaxed RbAg2PdF8 crystal.

Cell: 5.6445 5.6445 8.1097 Å, 69.63 69.63 60.00°
Closest atoms and distances in Å follow each position.
Sites, in units of the cell vectors:
F  0.7886  0.2848  0.6419  1 Pd 1.95
F  0.2848  0.2848  0.6419  1 Pd 1.95
F  0.3036  0.3036  0.0893  1 Ag 2.05
F  0.7152  0.2114  0.3581  1 Pd 1.95
F  0.6964  0.6964  0.9107  1 Ag 2.05
F  0.7152  0.7152  0.3581  1 Pd 1.95
F  0.2114  0.7152  0.3581  1 Pd 1.95
F  0.2848  0.7886  0.6419  1 Pd 1.95
Rb  0.0000  0.0000  0.0000  12 F 3.11-3.33
Ag  0.7884  0.7884  0.6348  1 F 2.05
Ag  0.2116  0.2116  0.3652  1 F 2.05
Pd  0.5000  0.5000  0.5000  6 F 1.95

* total DFT energy (no corrections): -43.7 eV/cell
* uncorrected formation energy: -1.407 eV/atom
* space group: R-3m (166)
* V: 17.07 A^3/atom
* size of the total moment: 1.0 μB/f.u.



Look up the total DFT energy (no corrections) of the third one.
-43.7 eV/cell



What is the size of the total moment in the first record?
0.0 μB/f.u.



The highest V belongs to which entry?
RbAg2PdF8



Which formula does entry 1 have?
Tc2Ge2H